# 1
DFT (PBE) results for a relaxed Na3Sn5Pd2 crystal.

abc: 6.756 9.616 9.616
angles: 79.26 69.43 69.43
Sites, in units of the cell vectors:
1 Na 0.250 0.000 0.000
2 Na 0.750 0.000 0.000
3 Na 0.368 0.379 0.884
4 Na 0.632 0.621 0.116
5 Na 0.868 0.884 0.379
6 Na 0.132 0.116 0.621
7 Sn 0.250 0.500 0.500
8 Sn 0.750 0.500 0.500
9 Sn 0.495 0.755 0.755
10 Sn 0.005 0.245 0.245
11 Sn 0.505 0.245 0.245
12 Sn 0.995 0.755 0.755
13 Sn 0.124 0.533 0.220
14 Sn 0.876 0.467 0.780
15 Sn 0.624 0.220 0.533
16 Sn 0.376 0.780 0.467
17 Pd 0.151 0.717 0.982
18 Pd 0.849 0.283 0.018
19 Pd 0.651 0.982 0.717
20 Pd 0.349 0.018 0.283

Summary:
Symmetry: Ibam
DOS at the Fermi energy: 6.17 states/eV per cell
ΔE to the lowest computed polymorph: 0.1036 eV/atom

# 2
DFT (PBE) results for a relaxed CrAg2Pd6 crystal.

abc: 5.363 7.407 7.407
angles: 96.82 86.49 86.49
Sites, in units of the cell vectors:
1 Cr 0.250 0.098 0.902
2 Cr 0.750 0.902 0.098
3 Ag 0.114 0.617 0.647
4 Ag 0.386 0.353 0.383
5 Ag 0.886 0.383 0.353
6 Ag 0.614 0.647 0.617
7 Pd 0.498 0.701 0.275
8 Pd 0.002 0.725 0.299
9 Pd 0.502 0.299 0.725
10 Pd 0.998 0.275 0.701
11 Pd 0.724 0.045 0.428
12 Pd 0.776 0.572 0.955
13 Pd 0.276 0.955 0.572
14 Pd 0.224 0.428 0.045
15 Pd 0.313 0.775 0.950
16 Pd 0.187 0.050 0.225
17 Pd 0.687 0.225 0.050
18 Pd 0.813 0.950 0.775

Summary:
Symmetry: C2/c
DOS at the Fermi energy: 18.20 states/eV per cell
Uncorrected energy: -5.088 eV/atom

# 3
DFT (PBE) results for a relaxed Dy3YSb3 crystal.

abc: 9.200 9.200 9.200
angles: 90.00 90.00 90.00
Sites, in units of the cell vectors:
1 Dy 0.822 0.322 0.178
2 Dy 0.928 0.928 0.928
3 Dy 0.822 0.678 0.322
4 Dy 0.178 0.822 0.322
5 Dy 0.178 0.178 0.178
6 Dy 0.322 0.822 0.678
7 Dy 0.072 0.428 0.572
8 Dy 0.322 0.178 0.822
9 Dy 0.678 0.322 0.822
10 Dy 0.678 0.678 0.678
11 Dy 0.572 0.072 0.428
12 Dy 0.428 0.572 0.072
13 Y 0.072 0.572 0.928
14 Y 0.928 0.072 0.572
15 Y 0.428 0.428 0.428
16 Y 0.572 0.928 0.072
17 Sb 0.750 0.625 0.000
18 Sb 0.875 0.000 0.250
19 Sb 0.000 0.750 0.625
20 Sb 0.125 0.500 0.250
21 Sb 0.250 0.125 0.500
22 Sb 0.250 0.875 0.000
23 Sb 0.000 0.250 0.875
24 Sb 0.375 0.500 0.750
25 Sb 0.500 0.250 0.125
26 Sb 0.625 0.000 0.750
27 Sb 0.750 0.375 0.500
28 Sb 0.500 0.750 0.375

Summary:
Raw formation energy: -1.00 eV/atom
Symmetry: P2_13
DOS at the Fermi energy: 26.96 states/eV per cell
ΔE to the lowest computed polymorph: 0.0000 eV/atom

# 4
DFT (PBE) results for a relaxed K3Pu3HfS8 crystal.

abc: 8.015 8.016 8.782
angles: 117.19 90.00 119.99
Sites, in units of the cell vectors:
1 K 0.000 0.000 0.000
2 K 0.000 0.500 0.000
3 K 0.500 0.500 0.000
4 Pu 0.500 0.000 0.500
5 Pu 0.500 0.500 0.500
6 Pu 0.000 0.500 0.500
7 Hf 0.000 0.000 0.500
8 S 0.267 0.534 0.300
9 S 0.733 0.466 0.700
10 S 0.780 0.561 0.309
11 S 0.220 0.439 0.691
12 S 0.780 0.029 0.309
13 S 0.220 0.971 0.691
14 S 0.248 0.029 0.309
15 S 0.752 0.971 0.691

Summary:
Raw formation energy: -1.60 eV/atom
Symmetry: R-3m
DOS at the Fermi energy: 26.71 states/eV per cell

# 5
DFT (PBE) results for a relaxed Tm7Ru2Pb crystal.

abc: 4.763 4.763 12.030
angles: 101.42 101.42 90.00
Sites, in units of the cell vectors:
1 Tm 0.108 0.608 0.215
2 Tm 0.392 0.892 0.785
3 Tm 0.608 0.108 0.215
4 Tm 0.500 0.500 0.000
5 Tm 0.750 0.250 0.500
6 Tm 0.892 0.392 0.785
7 Tm 0.250 0.750 0.500
8 Ru 0.672 0.672 0.343
9 Ru 0.328 0.328 0.657
10 Pb 0.000 0.000 0.000

Summary:
Symmetry: I4/mmm
DOS at the Fermi energy: 8.68 states/eV per cell
Uncorrected energy: -5.660 eV/atom

# 6
DFT (PBE) results for a relaxed NaLaTmAl crystal.

abc: 5.387 5.387 5.387
angles: 60.00 60.00 60.00
Sites, in units of the cell vectors:
1 Na 0.000 0.000 0.000
2 Tm 0.750 0.750 0.750
3 Al 0.500 0.500 0.500
4 La 0.250 0.250 0.250

Summary:
Symmetry: F-43m
DOS at the Fermi energy: 4.13 states/eV per cell
Uncorrected energy: -3.656 eV/atom

# 7
DFT (PBE) results for a relaxed La2Tb2Y6Ho crystal.

abc: 6.118 6.118 11.722
angles: 93.68 93.68 118.45
Sites, in units of the cell vectors:
1 La 0.818 0.182 0.000
2 La 0.182 0.818 0.000
3 Tb 0.336 0.664 0.500
4 Tb 0.664 0.336 0.500
5 Y 0.729 0.729 0.753
6 Y 0.064 0.398 0.743
7 Y 0.271 0.271 0.247
8 Y 0.398 0.064 0.743
9 Y 0.936 0.602 0.257
10 Y 0.602 0.936 0.257
11 Ho 0.000 0.000 0.500

Summary:
Symmetry: C2/m
DOS at the Fermi energy: 18.63 states/eV per cell
Uncorrected energy: -5.497 eV/atom

# 8
DFT (PBE) results for a relaxed Tb3Nd2Se4 crystal.

abc: 4.071 7.083 9.232
angles: 74.59 77.26 73.30
Sites, in units of the cell vectors:
1 Tb 0.000 0.000 0.000
2 Tb 0.203 0.393 0.202
3 Tb 0.797 0.607 0.798
4 Nd 0.595 0.216 0.595
5 Nd 0.405 0.784 0.405
6 Se 0.804 0.096 0.296
7 Se 0.196 0.904 0.704
8 Se 0.395 0.304 0.906
9 Se 0.605 0.696 0.094

Summary:
Raw formation energy: -1.57 eV/atom
Symmetry: C2/m
DOS at the Fermi energy: 6.18 states/eV per cell

# 9
DFT (PBE) results for a relaxed KLaRe2 crystal.

abc: 2.845 2.845 11.344
angles: 90.00 90.00 114.71
Sites, in units of the cell vectors:
1 K 0.500 0.500 0.250
2 La 0.500 0.500 0.750
3 Re 0.000 0.000 0.988
4 Re 0.000 0.000 0.512

Summary:
Symmetry: Cmmm
DOS at the Fermi energy: 4.84 states/eV per cell
ΔE to the lowest computed polymorph: 0.6736 eV/atom

# 10
DFT (PBE) results for a relaxed Ce2NpSi6 crystal.

abc: 4.046 7.019 7.019
angles: 120.00 90.00 90.00
Sites, in units of the cell vectors:
1 Ce 0.000 0.333 0.667
2 Ce 0.000 0.667 0.333
3 Np 0.000 0.000 0.000
4 Si 0.500 0.331 0.331
5 Si 0.500 0.669 0.669
6 Si 0.500 0.000 0.669
7 Si 0.500 0.669 0.000
8 Si 0.500 0.331 0.000
9 Si 0.500 0.000 0.331

Summary:
Raw formation energy: -0.53 eV/atom
Symmetry: P6/mmm
DOS at the Fermi energy: 12.47 states/eV per cell

# 11
DFT (PBE) results for a relaxed ScAl2Cl crystal.

abc: 6.939 6.939 6.939
angles: 154.83 143.84 44.57
Sites, in units of the cell vectors:
1 Sc 0.250 0.750 0.500
2 Al 0.038 0.038 0.000
3 Al 0.462 0.462 0.000
4 Cl 0.750 0.250 0.500

Summary:
Raw formation energy: -0.42 eV/atom
Symmetry: Immm
DOS at the Fermi energy: 2.47 states/eV per cell
ΔE to the lowest computed polymorph: 0.1117 eV/atom

# 12
DFT (PBE) results for a relaxed ErSc5Te6 crystal.

abc: 7.263 7.256 7.265
angles: 60.04 80.42 70.54
Sites, in units of the cell vectors:
1 Er 0.000 0.000 0.000
2 Sc 0.500 0.155 0.689
3 Sc 0.000 0.332 0.335
4 Sc 0.500 0.500 0.000
5 Sc 0.000 0.668 0.665
6 Sc 0.500 0.845 0.311
7 Te 0.743 0.085 0.343
8 Te 0.257 0.572 0.343
9 Te 0.247 0.261 0.000
10 Te 0.753 0.739 0.000
11 Te 0.743 0.428 0.657
12 Te 0.257 0.915 0.657

Summary:
Raw formation energy: -1.12 eV/atom
Symmetry: C2/m
DOS at the Fermi energy: 7.48 states/eV per cell